# CrNiRu3 PBE-GGA optimized geometry
# Total DFT energy (no corrections) = -34.5 eV for the cell shown
# Formation energy from the elements = 40.43 kcal/mol of atoms
# Volume = 16.42 Å³ per atom
# SG = Pm-3m, No. 221
# Offset from the most stable computed form = 1.744 eV/atom
# Crystal system = cubic
data_CrNiRu3
_chemical_formula_sum 'Cr1 Ni1 Ru3'
_cell_length_a 4.347
_cell_length_b 4.347
_cell_length_c 4.347
_cell_angle_alpha 90.00
_cell_angle_beta 90.00
_cell_angle_gamma 90.00
_space_group_name_H-M_alt 'P 1'
_space_group_IT_number 1
loop_
_space_group_symop_operation_xyz
'x,y,z'
loop_
_atom_site_label
_atom_site_type_symbol
_atom_site_fract_x
_atom_site_fract_y
_atom_site_fract_z
Ru1 Ru 0.500 0.000 0.000
Ru2 Ru 0.000 0.000 0.500
Ni1 Ni 0.000 0.000 0.000
Ru3 Ru 0.000 0.500 0.000
Cr1 Cr 0.500 0.500 0.500